Record 1
Computed, not measured: a relaxed Li4Ag4Pb crystal at the GGA-PBE level of DFT.

POSCAR file:
```
Li4Ag4Pb
1.0
-4.486 4.486 2.077
4.486 -4.486 2.077
4.486 4.486 -2.077
Li Ag Pb
4 4 1
direct
0.000 0.323 0.323 Li
0.000 0.677 0.677 Li
0.323 0.000 0.323 Li
0.677 0.000 0.677 Li
0.325 0.325 0.651 Ag
0.325 0.675 0.000 Ag
0.675 0.325 0.000 Ag
0.675 0.675 0.349 Ag
0.000 0.000 0.000 Pb
```

Properties
N(E_F)   2.389 states/eV/f.u.
Relative energy among the computed polymorphs   0.000 eV per atom
DFT formation energy   -0.133 eV/atom
Symmetry   I4/mmm, No. 139
Final energy   -2.6629 eV per atom

---

Record 2
Computed, not measured: a relaxed Li2Ag3Pb2 crystal at the GGA-PBE level of DFT.

POSCAR file:
```
Li2Ag3Pb2
1.0
4.868 -2.112 0.000
4.868 2.112 0.000
-0.765 0.000 7.126
Li Ag Pb
2 3 2
direct
0.080 0.080 0.256 Li
0.920 0.920 0.744 Li
0.212 0.212 0.620 Ag
0.500 0.500 0.500 Ag
0.788 0.788 0.380 Ag
0.362 0.362 0.100 Pb
0.638 0.638 0.900 Pb
```

Properties
N(E_F)   2.478 states/eV/f.u.
DFT formation energy   -0.104 eV/atom
Symmetry   C2/m, No. 12
Final energy   -2.9326 eV per atom

---

Record 3
Computed, not measured: a relaxed Li2AgPb2 crystal at the GGA-PBE level of DFT.

POSCAR file:
```
Li2AgPb2
1.0
7.936 0.000 0.000
0.000 7.936 0.000
0.000 0.000 3.536
Li Ag Pb
4 2 4
direct
0.157 0.343 0.000 Li
0.343 0.843 0.000 Li
0.657 0.157 0.000 Li
0.843 0.657 0.000 Li
0.000 0.000 0.500 Ag
0.500 0.500 0.500 Ag
0.145 0.645 0.500 Pb
0.355 0.145 0.500 Pb
0.645 0.855 0.500 Pb
0.855 0.355 0.500 Pb
```

Properties
N(E_F)   1.561 states/eV/f.u.
Relative energy among the computed polymorphs   0.042 eV per atom
DFT formation energy   -0.105 eV/atom
Symmetry   P4/mbm, No. 127
Final energy   -2.9243 eV per atom

---

Record 4
Computed, not measured: a relaxed Li4AgPb crystal at the GGA-PBE level of DFT.

POSCAR file:
```
Li4AgPb
1.0
7.248 -3.365 0.000
7.248 3.365 0.000
-1.897 0.000 4.928
Li Ag Pb
8 2 2
direct
0.101 0.636 0.370 Li
0.177 0.823 0.000 Li
0.319 0.319 0.819 Li
0.364 0.899 0.630 Li
0.636 0.101 0.370 Li
0.681 0.681 0.181 Li
0.823 0.177 0.000 Li
0.899 0.364 0.630 Li
0.500 0.500 0.253 Ag
0.500 0.500 0.747 Ag
0.196 0.196 0.199 Pb
0.804 0.804 0.801 Pb
```

Properties
N(E_F)   1.659 states/eV/f.u.
Relative energy among the computed polymorphs   0.047 eV per atom
DFT formation energy   -0.199 eV/atom
Symmetry   C2/m, No. 12
Final energy   -2.5683 eV per atom

---

Record 5
Computed, not measured: a relaxed Li3AgPb4 crystal at the GGA-PBE level of DFT.

POSCAR file:
```
Li3AgPb4
1.0
3.779 0.000 0.000
0.000 4.971 0.000
0.000 0.000 9.883
Li Ag Pb
3 1 4
direct
0.000 0.000 0.000 Li
0.000 0.500 0.255 Li
0.000 0.500 0.745 Li
0.000 0.000 0.500 Ag
0.500 0.000 0.248 Pb
0.500 0.000 0.752 Pb
0.500 0.500 0.000 Pb
0.500 0.500 0.500 Pb
```

Properties
N(E_F)   3.152 states/eV/f.u.
Relative energy among the computed polymorphs   0.000 eV per atom
DFT formation energy   -0.169 eV/atom
Symmetry   Pmmm, No. 47
Final energy   -3.0972 eV per atom

---

Record 6
Computed, not measured: a relaxed Li5Ag2Pb2 crystal at the GGA-PBE level of DFT.

POSCAR file:
```
Li5Ag2Pb2
1.0
7.632 -3.470 0.000
7.632 3.470 0.000
0.000 0.000 6.864
Li Ag Pb
10 4 4
direct
0.000 0.000 0.000 Li
0.044 0.711 0.670 Li
0.211 0.544 0.170 Li
0.289 0.956 0.670 Li
0.456 0.789 0.170 Li
0.500 0.500 0.500 Li
0.544 0.211 0.830 Li
0.711 0.044 0.330 Li
0.789 0.456 0.830 Li
0.956 0.289 0.330 Li
0.140 0.860 0.361 Ag
0.360 0.640 0.861 Ag
0.640 0.360 0.139 Ag
0.860 0.140 0.639 Ag
0.221 0.221 0.000 Pb
0.279 0.279 0.500 Pb
0.721 0.721 0.500 Pb
0.779 0.779 0.000 Pb
```

Properties
N(E_F)   1.184 states/eV/f.u.
DFT formation energy   -0.154 eV/atom
Symmetry   Cmce, No. 64
Final energy   -2.6744 eV per atom

---

Q: final energy of number 5 (Li3AgPb4)?
A: -3.0972 eV per atom

---

Q: The lowest DFT formation energy belongs to which entry?
A: Li4AgPb